First-principles (GGA-PBEsol) data for a relaxed structure of Sr2BeRh, as listed in Alexandria.

Lattice parameters (Å, degrees): 3.8566 4.4205 7.1407 108.03 105.67 90.00
Element x y z (fractional)
Sr (0.7551, 0.2551, 0.5103)
Be (0.5848, 0.5848, 0.1695)
Rh (0.1595, 0.6595, 0.3189)
Sr (0.0006, 0.0006, 0.0013)

## Properties
The space-group type is Imm2 (44). As for the formation energy from the elements: -49 meV per atom. The total energy is -4.00 eV per atom.


First-principles (GGA-PBEsol) data for a relaxed structure of SrBe2Rh, as listed in Alexandria.

Lattice parameters (Å, degrees): 3.8713 3.8713 5.8753 70.80 70.80 60.00
Element x y z (fractional)
Rh (0.5616, 0.5616, 0.3158)
Be (0.2532, 0.2532, 0.2407)
Be (0.9338, 0.9338, 0.1991)
Sr (0.7515, 0.7515, 0.7443)

## Properties
The space-group type is R3m (160). As for the formation energy from the elements: -228 meV per atom. The total energy is -4.72 eV per atom. Its energy relative to the lowest polymorph listed for this composition is 0.0 meV/atom.


First-principles (GGA-PBEsol) data for a relaxed structure of SrBeRh, as listed in Alexandria.

Lattice parameters (Å, degrees): 3.8709 3.8709 4.5217 90.00 90.00 120.00
Element x y z (fractional)
Sr (0.6667, 0.3333, 0.5000)
Rh (0.3333, 0.6667, 0.0000)
Be (0.0000, 0.0000, 0.0000)

## Properties
The space-group type is P-6m2 (187). As for the formation energy from the elements: -180 meV per atom. The total energy is -4.84 eV per atom. Its energy relative to the lowest polymorph listed for this composition is 0.0 meV/atom.


First-principles (GGA-PBEsol) data for a relaxed structure of SrBeRh, as listed in Alexandria.

Lattice parameters (Å, degrees): 4.5868 4.5868 4.5868 60.00 60.00 60.00
Element x y z (fractional)
Rh (0.5000, 0.5000, 0.5000)
Be (0.0000, 0.0000, 0.0000)
Sr (0.2500, 0.2500, 0.2500)

## Properties
The space-group type is F-43m (216). As for the formation energy from the elements: 1241 meV per atom. The total energy is -3.42 eV per atom. Its energy relative to the lowest polymorph listed for this composition is 1420.8 meV/atom.


First-principles (GGA-PBEsol) data for a relaxed structure of SrBeRh, as listed in Alexandria.

Lattice parameters (Å, degrees): 3.1630 3.1630 5.7555 105.95 105.95 90.00
Element x y z (fractional)
Be (0.9422, 0.9422, 0.8843)
Rh (0.3902, 0.3902, 0.7805)
Sr (0.6676, 0.6676, 0.3352)

## Properties
The space-group type is I4mm (107). As for the formation energy from the elements: -122 meV per atom. The total energy is -4.78 eV per atom. Its energy relative to the lowest polymorph listed for this composition is 58.1 meV/atom.


First-principles (GGA-PBEsol) data for a relaxed structure of Sr2BeRh, as listed in Alexandria.

Lattice parameters (Å, degrees): 4.5325 4.5325 5.3357 115.13 115.13 90.00
Element x y z (fractional)
Be (0.5000, 0.5000, 0.0000)
Rh (0.2500, 0.7500, 0.5000)
Sr (0.0000, 0.0000, 0.0000)
Sr (0.7500, 0.2500, 0.5000)

## Properties
The space-group type is I-4m2 (119). As for the formation energy from the elements: 400 meV per atom. The total energy is -3.56 eV per atom.


First-principles (GGA-PBEsol) data for a relaxed structure of TaBeRh3, as listed in Alexandria.

Lattice parameters (Å, degrees): 4.0592 4.0592 4.0592 90.00 90.00 90.00
Element x y z (fractional)
Ta (0.5000, 0.5000, 0.5000)
Rh (0.0000, 0.5000, 0.0000)
Be (0.0000, 0.0000, 0.0000)
Rh (0.0000, 0.0000, 0.5000)
Rh (0.5000, 0.0000, 0.0000)

## Properties
The space-group type is Pm-3m (221). As for the formation energy from the elements: -220 meV per atom. The total energy is -8.41 eV per atom.


First-principles (GGA-PBEsol) data for a relaxed structure of TaBeRh2, as listed in Alexandria.

Lattice parameters (Å, degrees): 2.8606 3.2633 5.7133 90.00 90.00 90.00
Element x y z (fractional)
Rh (0.0000, 0.0000, 0.2722)
Ta (0.5000, 0.5000, 0.0000)
Be (0.5000, 0.5000, 0.5000)
Rh (0.0000, 0.0000, 0.7278)

## Properties
The space-group type is Pmmm (47). As for the formation energy from the elements: -523 meV per atom. The total energy is -8.73 eV per atom.


First-principles (GGA-PBEsol) data for a relaxed structure of TaBeRh2, as listed in Alexandria.

Lattice parameters (Å, degrees): 2.8492 2.8492 6.3702 90.00 90.00 90.00
Element x y z (fractional)
Be (0.5000, 0.5000, 0.5000)
Rh (0.0000, 0.0000, 0.7127)
Rh (0.0000, 0.0000, 0.2873)
Ta (0.5000, 0.5000, 0.0000)

## Properties
The space-group type is P4/mmm (123). As for the formation energy from the elements: -575 meV per atom. The total energy is -8.78 eV per atom.


First-principles (GGA-PBEsol) data for a relaxed structure of TaBe2Rh, as listed in Alexandria.

Lattice parameters (Å, degrees): 2.7324 2.7324 8.0974 80.29 80.29 60.00
Element x y z (fractional)
Rh (0.4906, 0.4906, 0.5281)
Be (0.7494, 0.7494, 0.7517)
Ta (0.2514, 0.2514, 0.2458)
Be (0.0085, 0.0085, 0.9744)

## Properties
The space-group type is R3m (160). As for the formation energy from the elements: 137 meV per atom. The total energy is -7.04 eV per atom. Its energy relative to the lowest polymorph listed for this composition is 479.1 meV/atom.


First-principles (GGA-PBEsol) data for a relaxed structure of Ta2BeRh, as listed in Alexandria.

Lattice parameters (Å, degrees): 3.4084 4.1741 4.8874 115.28 110.41 90.00
Element x y z (fractional)
Ta (0.7508, 0.7508, 0.5015)
Rh (0.0000, 0.5000, 0.0000)
Ta (0.2492, 0.2492, 0.4985)
Be (0.5000, 0.0000, 0.0000)

## Properties
The space-group type is Immm (71). As for the formation energy from the elements: -127 meV per atom. The total energy is -9.44 eV per atom.


First-principles (GGA-PBEsol) data for a relaxed structure of TaBeRh2, as listed in Alexandria.

Lattice parameters (Å, degrees): 2.7885 3.7299 5.2138 90.00 90.00 90.00
Element x y z (fractional)
Rh (0.5000, 0.5000, 0.2614)
Rh (0.0000, 0.0000, 0.9521)
Be (0.5000, 0.5000, 0.7898)
Ta (0.0000, 0.0000, 0.4967)

## Properties
The space-group type is Pmm2 (25). As for the formation energy from the elements: -369 meV per atom. The total energy is -8.58 eV per atom.


First-principles (GGA-PBEsol) data for a relaxed structure of TaBe2Rh, as listed in Alexandria.

Lattice parameters (Å, degrees): 2.8498 3.6349 4.6961 90.00 107.66 90.00
Element x y z (fractional)
Rh (0.0952, 0.0000, 0.1904)
Be (0.8067, 0.0000, 0.6133)
Ta (0.4113, 0.5000, 0.8227)
Be (0.6836, 0.5000, 0.3671)

## Properties
The space-group type is Amm2 (38). As for the formation energy from the elements: -342 meV per atom. The total energy is -7.51 eV per atom. Its energy relative to the lowest polymorph listed for this composition is 0.0 meV/atom.


First-principles (GGA-PBEsol) data for a relaxed structure of TaBe4Rh, as listed in Alexandria.

Lattice parameters (Å, degrees): 4.4217 4.4217 4.4217 60.00 60.00 60.00
Element x y z (fractional)
Be (0.6272, 0.1185, 0.6272)
Be (0.6272, 0.6272, 0.6272)
Be (0.1185, 0.6272, 0.6272)
Ta (0.0000, 0.0000, 0.0000)
Rh (0.2500, 0.2500, 0.2500)
Be (0.6272, 0.6272, 0.1185)

## Properties
The space-group type is F-43m (216). As for the formation energy from the elements: -340 meV per atom. The total energy is -6.46 eV per atom.


First-principles (GGA-PBEsol) data for a relaxed structure of TaBeRh2, as listed in Alexandria.

Lattice parameters (Å, degrees): 3.9830 4.4053 3.9830 116.88 90.00 116.88
Element x y z (fractional)
Rh (0.2500, 0.5000, 0.7500)
Ta (0.5000, 0.0000, 0.5000)
Rh (0.7500, 0.5000, 0.2500)
Be (0.0000, 0.0000, 0.0000)

## Properties
The space-group type is I4/mmm (139). As for the formation energy from the elements: -552 meV per atom. The total energy is -8.76 eV per atom.


First-principles (GGA-PBEsol) data for a relaxed structure of TaBe2Rh, as listed in Alexandria.

Lattice parameters (Å, degrees): 2.7918 4.0106 4.8486 103.07 90.00 110.37
Element x y z (fractional)
Be (0.7389, 0.4779, 0.6787)
Be (0.2611, 0.5221, 0.3213)
Ta (0.5000, 0.0000, 0.0000)
Rh (0.0000, 0.0000, 0.5000)

## Properties
The space-group type is C2/m (12). As for the formation energy from the elements: -110 meV per atom. The total energy is -7.28 eV per atom. Its energy relative to the lowest polymorph listed for this composition is 232.0 meV/atom.


First-principles (GGA-PBEsol) data for a relaxed structure of TaBe2Rh2, as listed in Alexandria.

Lattice parameters (Å, degrees): 2.7461 6.6039 6.6039 90.00 90.00 90.00
Element x y z (fractional)
Ta (0.0000, 0.0000, 0.0000)
Rh (0.5000, 0.8236, 0.3236)
Be (0.0000, 0.1161, 0.3839)
Rh (0.5000, 0.1764, 0.6764)
Rh (0.5000, 0.3236, 0.1764)
Be (0.0000, 0.8839, 0.6161)
Rh (0.5000, 0.6764, 0.8236)
Be (0.0000, 0.3839, 0.8839)
Be (0.0000, 0.6161, 0.1161)
Ta (0.0000, 0.5000, 0.5000)

## Properties
The space-group type is P4/mbm (127). As for the formation energy from the elements: -512 meV per atom. The total energy is -7.88 eV per atom.


First-principles (GGA-PBEsol) data for a relaxed structure of Ta2BeRh, as listed in Alexandria.

Lattice parameters (Å, degrees): 2.8237 4.5461 5.2466 115.67 105.61 90.00
Element x y z (fractional)
Be (0.4774, 0.4774, 0.9548)
Rh (0.7738, 0.2738, 0.5476)
Ta (0.2380, 0.7380, 0.4759)
Ta (0.0108, 0.0108, 0.0216)

## Properties
The space-group type is Imm2 (44). As for the formation energy from the elements: -147 meV per atom. The total energy is -9.46 eV per atom.


First-principles (GGA-PBEsol) data for a relaxed structure of TaBe2RhW, as listed in Alexandria.

Lattice parameters (Å, degrees): 4.2903 4.2903 4.6323 90.00 90.00 90.00
Element x y z (fractional)
Rh (0.5000, 0.5000, 0.5000)
Ta (0.0000, 0.0000, 0.0000)
Be (0.5000, 0.0000, 0.0000)
W (0.0000, 0.0000, 0.5000)
Be (0.0000, 0.5000, 0.0000)

## Properties
The space-group type is P4/mmm (123). As for the formation energy from the elements: 1991 meV per atom. The total energy is -6.51 eV per atom.


First-principles (GGA-PBEsol) data for a relaxed structure of BeTcRh2, as listed in Alexandria.

Lattice parameters (Å, degrees): 2.6781 2.6781 8.1047 80.49 80.49 60.00
Element x y z (fractional)
Rh (0.2579, 0.2579, 0.2263)
Tc (0.5000, 0.5000, 0.5000)
Be (0.0000, 0.0000, 0.0000)
Rh (0.7421, 0.7421, 0.7737)

## Properties
The space-group type is R-3m (166). As for the formation energy from the elements: -161 meV per atom. The total energy is -8.05 eV per atom.